1.
# LiMoRu | the Alexandria database | PBE | optimized geometry
# **Calculated total energy**: -6.738 eV/atom
# **ΔE_f**: 0.603 eV/atom
# **Distance to the lowest polymorph of the same formula**: 441 meV/atom
data_LiMoRu
_symmetry_space_group_name_H-M 'F -4 3 m'
_symmetry_Int_Tables_number 216
_symmetry_space_group_name_Hall 'F -4 2 3'
_cell_length_a 5.832
_cell_length_b 5.832
_cell_length_c 5.832
_cell_angle_alpha 90.00
_cell_angle_beta 90.00
_cell_angle_gamma 90.00
loop_
_atom_site_label
_atom_site_type_symbol
_atom_site_fract_x
_atom_site_fract_y
_atom_site_fract_z
Li1 Li 0.000 0.000 0.000
Mo1 Mo 0.000 0.000 0.500
Ru1 Ru 0.250 0.250 0.750

=====

2.
# LiMo2Ru | the Alexandria database | PBE | optimized geometry
# **Calculated total energy**: -7.914 eV/atom
# **ΔE_f**: 0.299 eV/atom
# **Distance to the lowest polymorph of the same formula**: 87 meV/atom
data_LiMo2Ru
_symmetry_space_group_name_H-M 'P m m m'
_symmetry_Int_Tables_number 47
_cell_length_a 3.125
_cell_length_b 4.236
_cell_length_c 4.353
_cell_angle_alpha 90.00
_cell_angle_beta 90.00
_cell_angle_gamma 90.00
loop_
_symmetry_equiv_pos_as_xyz
'x,y,z'
'-x,-y,-z'
'-x,-y,z'
'x,y,-z'
'x,-y,-z'
'-x,y,z'
'-x,y,-z'
'x,-y,z'
loop_
_atom_site_label
_atom_site_type_symbol
_atom_site_fract_x
_atom_site_fract_y
_atom_site_fract_z
Li1 Li 0.000 0.000 0.000
Mo1 Mo 0.000 0.500 0.500
Mo2 Mo 0.500 0.000 0.500
Ru1 Ru 0.500 0.500 0.000

=====

3.
# LiMo2Ru | the Alexandria database | PBE | optimized geometry
# **Calculated total energy**: -7.953 eV/atom
# **ΔE_f**: 0.260 eV/atom
# **Distance to the lowest polymorph of the same formula**: 48 meV/atom
data_LiMo2Ru
_symmetry_space_group_name_H-M 'C 1 2/m 1'
_symmetry_Int_Tables_number 12
_cell_length_a 5.227
_cell_length_b 8.703
_cell_length_c 2.673
_cell_angle_alpha 90.00
_cell_angle_beta 106.42
_cell_angle_gamma 90.00
loop_
_symmetry_equiv_pos_as_xyz
'x,y,z'
'-x,-y,-z'
'-x,y,-z'
'x,-y,z'
'x+1/2,y+1/2,z'
'-x+1/2,-y+1/2,-z'
'-x+1/2,y+1/2,-z'
'x+1/2,-y+1/2,z'
loop_
_atom_site_label
_atom_site_type_symbol
_atom_site_fract_x
_atom_site_fract_y
_atom_site_fract_z
Li1 Li 0.000 0.000 0.000
Mo1 Mo 0.250 0.250 0.500
Ru1 Ru 0.000 0.500 0.000

=====

4.
# LiMo2Ru | the Alexandria database | PBE | optimized geometry
# **Calculated total energy**: -7.857 eV/atom
# **ΔE_f**: 0.356 eV/atom
# **Distance to the lowest polymorph of the same formula**: 144 meV/atom
data_LiMo2Ru
_symmetry_space_group_name_H-M 'P 4/m m m'
_symmetry_Int_Tables_number 123
_symmetry_space_group_name_Hall '-P 4 2'
_cell_length_a 2.703
_cell_length_b 2.703
_cell_length_c 8.565
_cell_angle_alpha 90.00
_cell_angle_beta 90.00
_cell_angle_gamma 90.00
loop_
_atom_site_label
_atom_site_type_symbol
_atom_site_fract_x
_atom_site_fract_y
_atom_site_fract_z
Li1 Li 0.000 0.000 0.000
Mo1 Mo 0.500 0.500 0.272
Ru1 Ru 0.000 0.000 0.500

=====

5.
# LiMo2Ru | the Alexandria database | PBE | optimized geometry
# **Calculated total energy**: -7.951 eV/atom
# **ΔE_f**: 0.262 eV/atom
# **Distance to the lowest polymorph of the same formula**: 49 meV/atom
data_LiMo2Ru
_symmetry_space_group_name_H-M 'I m m 2'
_symmetry_Int_Tables_number 44
_cell_length_a 3.072
_cell_length_b 4.457
_cell_length_c 8.580
_cell_angle_alpha 90.00
_cell_angle_beta 90.00
_cell_angle_gamma 90.00
loop_
_symmetry_equiv_pos_as_xyz
'x,y,z'
'-x,-y,z'
'-x,y,z'
'x,-y,z'
'x+1/2,y+1/2,z+1/2'
'-x+1/2,-y+1/2,z+1/2'
'-x+1/2,y+1/2,z+1/2'
'x+1/2,-y+1/2,z+1/2'
loop_
_atom_site_label
_atom_site_type_symbol
_atom_site_fract_x
_atom_site_fract_y
_atom_site_fract_z
Li1 Li 0.000 0.000 0.000
Mo1 Mo 0.000 0.000 0.497
Mo2 Mo 0.000 0.500 0.233
Ru1 Ru 0.000 0.500 0.752

=====

6.
# LiMoRu2 | the Alexandria database | PBE | optimized geometry
# **Calculated total energy**: -7.735 eV/atom
# **ΔE_f**: 0.089 eV/atom
data_LiMoRu2
_symmetry_space_group_name_H-M 'R -3 m'
_symmetry_Int_Tables_number 166
_symmetry_space_group_name_Hall '-R 3 2"'
_cell_length_a 2.7440
_cell_length_b 2.7440
_cell_length_c 26.7271
_cell_angle_alpha 90.00
_cell_angle_beta 90.00
_cell_angle_gamma 120.00
loop_
_atom_site_label
_atom_site_type_symbol
_atom_site_fract_x
_atom_site_fract_y
_atom_site_fract_z
Li1 Li 0.0000 0.0000 0.0000
Mo1 Mo 0.0000 0.0000 0.5000
Ru1 Ru 0.0000 0.0000 0.2483

=====

7.
# LiSiMoRu | the Alexandria database | PBE | optimized geometry
# **Uncorrected formation energy**: -1.08 eV/f.u.
# **Calculated total energy**: -7.132 eV/atom
data_LiSiMoRu
_symmetry_space_group_name_H-M 'F -4 3 m'
_symmetry_Int_Tables_number 216
_symmetry_space_group_name_Hall 'F -4 2 3'
_cell_length_a 5.961
_cell_length_b 5.961
_cell_length_c 5.961
_cell_angle_alpha 90.00
_cell_angle_beta 90.00
_cell_angle_gamma 90.00
loop_
_atom_site_label
_atom_site_type_symbol
_atom_site_fract_x
_atom_site_fract_y
_atom_site_fract_z
Li1 Li 0.000 0.000 0.000
Si1 Si 0.250 0.250 0.250
Mo1 Mo 0.250 0.250 0.750
Ru1 Ru 0.000 0.000 0.500

=====

8.
# LiSnMoRu | the Alexandria database | PBE | optimized geometry
# **Calculated total energy**: -6.596 eV/atom
# **ΔE_f**: -0.090 eV/atom
data_LiSnMoRu
_symmetry_space_group_name_H-M 'F -4 3 m'
_symmetry_Int_Tables_number 216
_symmetry_space_group_name_Hall 'F -4 2 3'
_cell_length_a 6.263
_cell_length_b 6.263
_cell_length_c 6.263
_cell_angle_alpha 90.00
_cell_angle_beta 90.00
_cell_angle_gamma 90.00
loop_
_atom_site_label
_atom_site_type_symbol
_atom_site_fract_x
_atom_site_fract_y
_atom_site_fract_z
Li1 Li 0.000 0.000 0.000
Sn1 Sn 0.250 0.250 0.250
Mo1 Mo 0.250 0.250 0.750
Ru1 Ru 0.000 0.000 0.500

=====

9.
# SrLi2MoRu | the Alexandria database | PBE | optimized geometry
# **Calculated total energy**: -4.400 eV/atom
# **ΔE_f**: 0.723 eV/atom
data_SrLi2MoRu
_symmetry_space_group_name_H-M 'P 4/m m m'
_symmetry_Int_Tables_number 123
_symmetry_space_group_name_Hall '-P 4 2'
_cell_length_a 5.072
_cell_length_b 5.072
_cell_length_c 4.642
_cell_angle_alpha 90.00
_cell_angle_beta 90.00
_cell_angle_gamma 90.00
loop_
_atom_site_label
_atom_site_type_symbol
_atom_site_fract_x
_atom_site_fract_y
_atom_site_fract_z
Sr1 Sr 0.000 0.000 0.000
Li1 Li 0.000 0.500 0.500
Mo1 Mo 0.500 0.500 0.500
Ru1 Ru 0.500 0.500 0.000

=====

10.
# LiZrMo2Ru | the Alexandria database | PBE | optimized geometry
# **Calculated total energy**: -7.390 eV/atom
# **ΔE_f**: 0.890 eV/atom
data_LiZrMo2Ru
_symmetry_space_group_name_H-M 'P 4/m m m'
_symmetry_Int_Tables_number 123
_symmetry_space_group_name_Hall '-P 4 2'
_cell_length_a 4.318
_cell_length_b 4.318
_cell_length_c 4.273
_cell_angle_alpha 90.00
_cell_angle_beta 90.00
_cell_angle_gamma 90.00
loop_
_atom_site_label
_atom_site_type_symbol
_atom_site_fract_x
_atom_site_fract_y
_atom_site_fract_z
Li1 Li 0.000 0.000 0.000
Zr1 Zr 0.500 0.500 0.500
Mo1 Mo 0.000 0.500 0.000
Ru1 Ru 0.000 0.000 0.500

=====

11.
# Li2Mo2S | the Alexandria database | PBE | optimized geometry
# **Uncorrected formation energy**: 0.56 eV/f.u.
# **Calculated total energy**: -5.812 eV/atom
# **Distance to the lowest polymorph of the same formula**: 0 meV/atom
data_Li2Mo2S
_symmetry_space_group_name_H-M 'P 4/m b m'
_symmetry_Int_Tables_number 127
_symmetry_space_group_name_Hall '-P 4 2ab'
_cell_length_a 6.016
_cell_length_b 6.016
_cell_length_c 4.663
_cell_angle_alpha 90.00
_cell_angle_beta 90.00
_cell_angle_gamma 90.00
loop_
_atom_site_label
_atom_site_type_symbol
_atom_site_fract_x
_atom_site_fract_y
_atom_site_fract_z
Li1 Li 0.154 0.346 0.000
Mo1 Mo 0.142 0.642 0.500
S1 S 0.000 0.000 0.500

=====

12.
# Li2Mo2S | the Alexandria database | PBE | optimized geometry
# **Uncorrected formation energy**: 2.61 eV/f.u.
# **Calculated total energy**: -5.401 eV/atom
# **Distance to the lowest polymorph of the same formula**: 411 meV/atom
data_Li2Mo2S
_symmetry_space_group_name_H-M 'I 4/m m m'
_symmetry_Int_Tables_number 139
_symmetry_space_group_name_Hall '-I 4 2'
_cell_length_a 3.073
_cell_length_b 3.073
_cell_length_c 15.152
_cell_angle_alpha 90.00
_cell_angle_beta 90.00
_cell_angle_gamma 90.00
loop_
_atom_site_label
_atom_site_type_symbol
_atom_site_fract_x
_atom_site_fract_y
_atom_site_fract_z
Li1 Li 0.000 0.500 0.250
Mo1 Mo 0.000 0.000 0.088
S1 S 0.000 0.000 0.500

=====

13.
# LiMoS2 | the Alexandria database | PBE | optimized geometry
# **Uncorrected formation energy**: -1.71 eV/f.u.
# **Calculated total energy**: -5.676 eV/atom
# **Distance to the lowest polymorph of the same formula**: 561 meV/atom
data_LiMoS2
_symmetry_space_group_name_H-M 'F m -3 m'
_symmetry_Int_Tables_number 225
_symmetry_space_group_name_Hall '-F 4 2 3'
_cell_length_a 6.062
_cell_length_b 6.062
_cell_length_c 6.062
_cell_angle_alpha 90.00
_cell_angle_beta 90.00
_cell_angle_gamma 90.00
loop_
_atom_site_label
_atom_site_type_symbol
_atom_site_fract_x
_atom_site_fract_y
_atom_site_fract_z
Li1 Li 0.000 0.000 0.000
Mo1 Mo 0.000 0.000 0.500
S1 S 0.250 0.250 0.250

=====

14.
# LiMoS3 | the Alexandria database | PBE | optimized geometry
# **Uncorrected formation energy**: -1.68 eV/f.u.
# **Calculated total energy**: -5.361 eV/atom
# **Distance to the lowest polymorph of the same formula**: 325 meV/atom
data_LiMoS3
_symmetry_space_group_name_H-M 'P m -3 m'
_symmetry_Int_Tables_number 221
_symmetry_space_group_name_Hall '-P 4 2 3'
_cell_length_a 4.714
_cell_length_b 4.714
_cell_length_c 4.714
_cell_angle_alpha 90.00
_cell_angle_beta 90.00
_cell_angle_gamma 90.00
loop_
_atom_site_label
_atom_site_type_symbol
_atom_site_fract_x
_atom_site_fract_y
_atom_site_fract_z
Li1 Li 0.000 0.000 0.000
Mo1 Mo 0.500 0.500 0.500
S1 S 0.000 0.500 0.500

=====

15.
# LiMoS2 | the Alexandria database | PBE | optimized geometry
# **Uncorrected formation energy**: -2.27 eV/f.u.
# **Calculated total energy**: -5.817 eV/atom
# **Distance to the lowest polymorph of the same formula**: 421 meV/atom
data_LiMoS2
_symmetry_space_group_name_H-M 'I -4 2 d'
_symmetry_Int_Tables_number 122
_symmetry_space_group_name_Hall 'I -4 2bw'
_cell_length_a 5.576
_cell_length_b 5.576
_cell_length_c 10.798
_cell_angle_alpha 90.00
_cell_angle_beta 90.00
_cell_angle_gamma 90.00
loop_
_atom_site_label
_atom_site_type_symbol
_atom_site_fract_x
_atom_site_fract_y
_atom_site_fract_z
Li1 Li 0.000 0.000 0.000
Mo1 Mo 0.000 0.000 0.500
S1 S 0.222 0.250 0.625